# Al2SbAu2

A crystal of Al2SbAu2 relaxed with PBEsol (SCAN, Alexandria via LeMat-Bulk).

The structure in POSCAR format:
```
Al2SbAu2
1.0
-2.007 2.007 5.917
2.007 -2.007 5.917
2.007 2.007 -5.917
Al Sb Au
2 1 2
Direct
0.250 0.750 0.500
0.750 0.250 0.500
0.000 0.000 0.000
0.384 0.384 0.000
0.616 0.616 0.000
```

Computed properties:
ΔE_f (raw)	-34.3	kJ/mol of atoms
calculated density	9922	kg/m3
polymorph energy (0 for the lowest one)	0	meV/atom
calculated total energy	-38.57	eV/atom



# Ce3Al

A crystal of Ce3Al relaxed with PBEsol (SCAN, Alexandria via LeMat-Bulk).

The structure in POSCAR format:
```
Ce3Al
1.0
6.545 0.000 0.000
-3.272 5.668 0.000
0.000 0.000 5.222
Ce Al
6 2
Direct
0.187 0.375 0.250
0.187 0.813 0.250
0.375 0.187 0.750
0.625 0.813 0.250
0.813 0.187 0.750
0.813 0.625 0.750
0.333 0.667 0.750
0.667 0.333 0.250
```

Computed properties:
calculated density	7669	kg/m3
formation energy from the elements	-0.191	eV per atom
polymorph energy (0 for the lowest one)	14	meV/atom
calculated total energy	-35.55	eV/atom